Entry from the Alexandria database: SbWNF2 after structural relaxation (PBE+U).

Values from the calculation:
Magnetic moment in Bohr magnetons per cell: 4.33
Fermi-level density of states in states/eV/atom: 0.20
Energy above the lowest structure with this stoichiometry in eV per atom: 0.588
Space group: No. 123

Lattice parameters (Å, degrees): 4.325 4.325 4.586 90.00 90.00 90.00
Atoms (fractional coordinates):
Sb 0.000 0.000 0.000
W 0.500 0.500 0.500
N 0.000 0.000 0.500
F 0.000 0.500 0.000
F 0.500 0.000 0.000